(1)
Crystalline KZn2In at its relaxed geometry, computed with PBE-GGA.

Summary:
* size of the total moment: 0.00 μB/cell
* DFT total energy: -5.4 eV for the cell shown
* ΔE_f: 245 meV per atom
* DOS(E_F): 2.0 states/eV per cell

```
KZn2In
1.0
-4.1715 0.8188 -5.3674
2.8907 -5.2693 0.9799
-2.3962 -1.6996 0.9295
In K Zn
1 1 2
direct
0.0000 0.5000 0.5000
0.5000 0.5000 0.0000
0.0000 0.0000 0.0000
0.5000 0.0000 0.5000
```

(2)
Crystalline KZnIn2 at its relaxed geometry, computed with PBE-GGA.

Summary:
* size of the total moment: 0.00 μB/cell
* DFT total energy: -14.7 eV for the cell shown
* ΔE_f: 123 meV per atom
* DOS(E_F): 2.6 states/eV per cell

```
KZnIn2
1.0
5.5389 0.0000 0.0000
0.0000 5.5389 0.0000
2.7694 2.7694 9.5498
Zn K In
2 2 4
direct
0.0000 0.0000 0.0000
0.7500 0.2500 0.5000
0.5000 0.5000 0.0000
0.2500 0.7500 0.5000
0.7965 0.1250 0.2500
0.9535 0.6250 0.2500
0.3750 0.2035 0.7500
0.8750 0.0465 0.7500
```

(3)
Crystalline K2ZnIn at its relaxed geometry, computed with PBE-GGA.

Summary:
* size of the total moment: 0.00 μB/cell
* DFT total energy: -5.6 eV for the cell shown
* ΔE_f: 146 meV per atom
* DOS(E_F): 3.3 states/eV per cell

```
K2ZnIn
1.0
-3.4266 0.8075 -1.4423
-1.6492 -1.4006 3.1293
0.3529 9.1179 4.2668
In K Zn
1 2 1
direct
0.5000 0.5000 0.7500
0.0000 0.0000 0.0112
0.0000 0.0000 0.4888
0.5000 0.5000 0.2500
```

(4)
Crystalline K2Zn2In at its relaxed geometry, computed with PBE-GGA.

Summary:
* size of the total moment: 0.00 μB/cell
* DFT total energy: -7.0 eV for the cell shown
* ΔE_f: 106 meV per atom
* energy relative to the lowest polymorph listed for this composition: 31 meV per atom
* DOS(E_F): 3.4 states/eV per cell

```
K2Zn2In
1.0
3.6854 0.0000 0.0000
0.0000 3.6854 0.0000
1.8427 1.8427 11.7677
Zn K In
2 2 1
direct
0.7500 0.2500 0.5000
0.2500 0.7500 0.5000
0.3834 0.3834 0.2333
0.6166 0.6166 0.7667
0.0000 0.0000 0.0000
```

(5)
Crystalline K2ZnIn at its relaxed geometry, computed with PBE-GGA.

Summary:
* size of the total moment: 0.00 μB/cell
* DFT total energy: -6.3 eV for the cell shown
* ΔE_f: -17 meV per atom
* DOS(E_F): 2.7 states/eV per cell

```
K2ZnIn
1.0
-1.8877 -2.4406 -3.7907
-2.8498 -3.8994 0.7500
-8.2075 2.8505 -0.8233
Zn K In
1 2 1
direct
0.5413 0.5413 0.3744
0.9650 0.9650 0.0989
0.7857 0.7857 0.6511
0.2080 0.2080 0.3755
```

(6)
Crystalline KZnIn2 at its relaxed geometry, computed with PBE-GGA.

Summary:
* size of the total moment: 0.00 μB/cell
* DFT total energy: -8.0 eV for the cell shown
* ΔE_f: -37 meV per atom
* DOS(E_F): 1.7 states/eV per cell

```
KZnIn2
1.0
-1.4345 4.3636 0.9327
-0.6835 1.3440 4.4379
5.6832 3.9235 2.1622
K Zn In
1 1 2
direct
0.4962 0.4962 0.5116
0.6752 0.6752 0.9744
0.0422 0.0422 0.8734
0.2865 0.2865 0.1406
```

(7)
Crystalline KZnIn2 at its relaxed geometry, computed with PBE-GGA.

Summary:
* size of the total moment: 0.00 μB/cell
* DFT total energy: -7.5 eV for the cell shown
* ΔE_f: 75 meV per atom
* DOS(E_F): 2.4 states/eV per cell

```
KZnIn2
1.0
-4.7178 1.7765 1.7936
0.2142 -3.5002 4.0414
4.0296 3.4314 -0.7863
In K Zn
2 1 1
direct
0.0000 0.0000 0.0000
0.2500 0.7500 0.5000
0.5000 0.5000 0.0000
0.7500 0.2500 0.5000
```

(8)
Crystalline KZnIn2 at its relaxed geometry, computed with PBE-GGA.

Summary:
* size of the total moment: 0.00 μB/cell
* DFT total energy: -7.8 eV for the cell shown
* ΔE_f: 17 meV per atom
* DOS(E_F): 1.3 states/eV per cell

```
KZnIn2
1.0
3.3365 0.0000 0.0000
0.0000 4.1634 0.0000
0.0000 0.0000 8.3114
In K Zn
2 1 1
direct
0.0000 0.0000 0.9718
0.5000 0.5000 0.2013
0.0000 0.0000 0.5183
0.5000 0.5000 0.8086
```

(9)
Crystalline K2ZnIn at its relaxed geometry, computed with PBE-GGA.

Summary:
* size of the total moment: 0.00 μB/cell
* DFT total energy: -11.6 eV for the cell shown
* ΔE_f: 105 meV per atom
* DOS(E_F): 4.8 states/eV per cell

```
K2ZnIn
1.0
12.6520 0.0000 0.0000
0.0000 12.6520 0.0000
6.3260 6.3260 2.5177
Zn K In
2 4 2
direct
0.5000 0.5000 0.0000
0.2500 0.7500 0.5000
0.4573 0.1250 0.2500
0.2927 0.6250 0.2500
0.3750 0.5427 0.7500
0.8750 0.7073 0.7500
0.0000 0.0000 0.0000
0.7500 0.2500 0.5000
```

(10)
Crystalline KZn2In at its relaxed geometry, computed with PBE-GGA.

Summary:
* size of the total moment: 0.00 μB/cell
* DFT total energy: -6.5 eV for the cell shown
* ΔE_f: -19 meV per atom
* DOS(E_F): 1.4 states/eV per cell

```
KZn2In
1.0
4.5672 0.0169 -0.0162
2.2692 3.9636 -0.0162
2.2854 1.3307 6.3515
Zn K In
2 1 1
direct
0.0613 0.0613 0.8167
0.7310 0.7310 0.8074
0.2561 0.2561 0.2316
0.4517 0.4517 0.6442
```

(11)
Crystalline K2ZnIn at its relaxed geometry, computed with PBE-GGA.

Summary:
* size of the total moment: 0.00 μB/cell
* DFT total energy: -5.3 eV for the cell shown
* ΔE_f: 221 meV per atom
* DOS(E_F): 2.6 states/eV per cell

```
K2ZnIn
1.0
5.7834 -0.0754 -0.0563
4.7009 3.3697 -0.0563
1.0185 0.3200 7.7607
In K Zn
1 2 1
direct
0.2500 0.2500 0.2500
0.0040 0.0040 0.9944
0.4960 0.4960 0.5056
0.7500 0.7500 0.7500
```

(12)
Crystalline KZnIn2 at its relaxed geometry, computed with PBE-GGA.

Summary:
* size of the total moment: 0.00 μB/cell
* DFT total energy: -7.8 eV for the cell shown
* ΔE_f: 21 meV per atom
* DOS(E_F): 1.0 states/eV per cell

```
KZnIn2
1.0
-3.1123 -3.5544 0.2387
2.5402 -2.1581 0.9847
-0.0529 0.5357 7.2878
In K Zn
2 1 1
direct
0.0000 0.8165 0.9927
0.5000 0.2121 0.2004
0.0000 0.5520 0.5193
0.5000 0.9195 0.7876
```